Below is Tm5IrPb2 after structural relaxation, with properties calculated at the PBE level.

Summary:
**Formation energy from the elements**: -171.8 meV per atom
**Electronic total energy**: -5.0012 eV/atom
**ΔE to the lowest computed polymorph**: 426 meV per atom
**Total magnetization**: 0.00 μB/cell
**SG**: Cmcm, No. 63

Unit cell a=5.449 b=8.607 c=12.440 alpha=90.00 beta=90.00 gamma=108.45
Fractional positions:
Pb  0.885  0.771  0.126
Pb  0.885  0.771  0.374
Pb  0.115  0.229  0.626
Pb  0.115  0.229  0.874
Tm  0.298  0.595  0.066
Tm  0.920  0.840  0.892
Tm  0.080  0.160  0.392
Tm  0.290  0.580  0.750
Tm  0.920  0.840  0.608
Tm  0.710  0.420  0.250
Tm  0.080  0.160  0.108
Tm  0.702  0.405  0.934
Tm  0.298  0.595  0.434
Tm  0.702  0.405  0.566
Ir  0.800  0.600  0.750
Ir  0.200  0.400  0.250